No. 1
VASP calculation (PBE) on a geometry-optimized NaSr4Pb12 structure.

Lattice parameters (Å, degrees): 8.9581 8.9581 8.9581 109.47 109.47 109.47
Sites, in units of the cell vectors:
1 Na 0.0000 0.0000 0.0000
2 Sr 0.0000 0.0000 0.5000
3 Sr 0.5000 0.0000 0.0000
4 Sr 0.5000 0.5000 0.5000
5 Sr 0.0000 0.5000 0.0000
6 Pb 0.0000 0.2917 0.2917
7 Pb 0.0000 0.7083 0.7083
8 Pb 0.7083 0.7083 0.0000
9 Pb 0.2917 0.2917 0.0000
10 Pb 0.2917 0.0000 0.2917
11 Pb 0.7083 0.0000 0.7083
12 Pb 0.5000 0.2500 0.7500
13 Pb 0.5000 0.7500 0.2500
14 Pb 0.7500 0.2500 0.5000
15 Pb 0.2500 0.7500 0.5000
16 Pb 0.7500 0.5000 0.2500
17 Pb 0.2500 0.5000 0.7500

Its calculated density is 8.582 g/cm3. For the density of states at the Fermi level, the calculation gives 9.5 states/eV/f.u. As for the final energy: -3.3799 eV/atom. The calculation puts the size of the total moment at 0.0 μB per cell. The formation energy comes out at -0.29 eV per atom.

---

No. 2
VASP calculation (PBE) on a geometry-optimized NdDy5Hg6 structure.

Lattice parameters (Å, degrees): 5.2641 7.5211 8.3571 90.00 108.16 90.00
Sites, in units of the cell vectors:
1 Nd 0.0000 0.0000 0.0000
2 Hg 0.8308 0.7441 0.6595
3 Hg 0.8308 0.2559 0.6595
4 Hg 0.5000 0.2574 0.0000
5 Hg 0.5000 0.7426 0.0000
6 Hg 0.1692 0.7441 0.3405
7 Hg 0.1692 0.2559 0.3405
8 Dy 0.6638 0.5000 0.3291
9 Dy 0.3329 0.0000 0.6646
10 Dy 0.0000 0.5000 0.0000
11 Dy 0.6671 0.0000 0.3354
12 Dy 0.3362 0.5000 0.6709

Its calculated density is 11.410 g/cm3. For the density of states at the Fermi level, the calculation gives 13.0 states/eV/f.u. As for the final energy: -2.9411 eV/atom. The calculation puts the size of the total moment at 1.0 μB per cell. The formation energy comes out at -0.48 eV per atom.

---

No. 3
VASP calculation (PBE) on a geometry-optimized NaGeI2Cl structure.

Lattice parameters (Å, degrees): 5.9387 5.9387 5.1382 90.00 90.00 90.00
Sites, in units of the cell vectors:
1 I 0.0000 0.5000 0.0000
2 I 0.5000 0.0000 0.0000
3 Na 0.5000 0.5000 0.5000
4 Ge 0.0000 0.0000 0.0000
5 Cl 0.0000 0.0000 0.5000

Its calculated density is 3.527 g/cm3. The formation energy without anion corrections comes out at -0.71 eV/atom. For the density of states at the Fermi level, the calculation gives 0.0 states/eV/f.u. As for the final energy: -2.8869 eV/atom. The calculation puts the size of the total moment at 0.0 μB per cell.

---

No. 4
VASP calculation (PBE) on a geometry-optimized NaSrGa structure.

Lattice parameters (Å, degrees): 4.1284 5.1901 5.1901 120.00 90.00 90.00
Sites, in units of the cell vectors:
1 Sr 0.6669 0.6667 0.3333
2 Ga 0.1664 0.3333 0.6667
3 Na 0.1667 0.0000 0.0000

Its calculated density is 3.109 g/cm3. Its energy above the most stable polymorph in this dataset is 0.54 eV/f.u. For the density of states at the Fermi level, the calculation gives 3.4 states/eV/f.u. As for the final energy: -2.0824 eV/atom. The calculation puts the size of the total moment at 0.0 μB per cell. The formation energy comes out at -0.07 eV per atom.

---

No. 5
VASP calculation (PBE) on a geometry-optimized Ac3Tb2Y7 structure.

Lattice parameters (Å, degrees): 3.7748 5.7852 20.6894 90.00 95.23 90.00
Sites, in units of the cell vectors:
1 Ac 0.5000 0.5000 0.0000
2 Ac 0.8280 0.0000 0.6562
3 Ac 0.1720 0.0000 0.3438
4 Tb 0.3627 0.5000 0.7256
5 Tb 0.6373 0.5000 0.2744
6 Y 0.2841 0.5000 0.5681
7 Y 0.7159 0.5000 0.4319
8 Y 0.4161 0.0000 0.8327
9 Y 0.0000 0.0000 0.0000
10 Y 0.5839 0.0000 0.1673
11 Y 0.0699 0.5000 0.1395
12 Y 0.9301 0.5000 0.8605

Its calculated density is 5.983 g/cm3. For the density of states at the Fermi level, the calculation gives 19.3 states/eV/f.u. As for the final energy: -5.3302 eV/atom. The calculation puts the size of the total moment at 0.9 μB per cell. The formation energy comes out at 0.24 eV per atom.

---

No. 6
VASP calculation (PBE) on a geometry-optimized AlRh2Br structure.

Lattice parameters (Å, degrees): 2.9841 5.1044 4.2518 90.00 90.00 90.00
Sites, in units of the cell vectors:
1 Rh 0.0000 0.0000 0.0000
2 Rh 0.5000 0.5000 0.0000
3 Al 0.5000 0.0000 0.5000
4 Br 0.0000 0.5000 0.5000

Its calculated density is 8.017 g/cm3. The formation energy without anion corrections comes out at 0.10 eV/atom. Its energy above the most stable polymorph in this dataset is 1.66 eV/f.u. For the density of states at the Fermi level, the calculation gives 2.6 states/eV/f.u. As for the final energy: -4.9315 eV/atom. The calculation puts the size of the total moment at 0.0 μB per cell.

---

No. 7
VASP calculation (PBE) on a geometry-optimized Ba2ThSb3Pt4 structure.

Lattice parameters (Å, degrees): 4.7745 4.7745 11.4021 90.00 90.00 90.00
Sites, in units of the cell vectors:
1 Ba 0.5000 0.0000 0.2254
2 Ba 0.0000 0.5000 0.7746
3 Th 0.5000 0.5000 0.5000
4 Sb 0.0000 0.0000 0.5000
5 Sb 0.5000 0.0000 0.8818
6 Sb 0.0000 0.5000 0.1182
7 Pt 0.5000 0.5000 0.0000
8 Pt 0.0000 0.0000 0.0000
9 Pt 0.5000 0.0000 0.6432
10 Pt 0.0000 0.5000 0.3568

Its calculated density is 10.556 g/cm3. The formation energy without anion corrections comes out at -0.86 eV/atom. For the density of states at the Fermi level, the calculation gives 5.9 states/eV/f.u. As for the final energy: -5.6370 eV/atom. The calculation puts the size of the total moment at 0.0 μB per cell.

---

No. 8
VASP calculation (PBE) on a geometry-optimized AcNp4Rh3S12 structure.

Lattice parameters (Å, degrees): 8.3510 8.3510 8.3510 109.47 109.47 109.47
Sites, in units of the cell vectors:
1 Ac 0.0000 0.0000 0.0000
2 Np 0.5000 0.0000 0.0000
3 Np 0.5000 0.5000 0.5000
4 Np 0.0000 0.5000 0.0000
5 Np 0.0000 0.0000 0.5000
6 Rh 0.0000 0.5000 0.5000
7 Rh 0.5000 0.5000 0.0000
8 Rh 0.5000 0.0000 0.5000
9 S 0.3099 0.8450 0.1549
10 S 0.6901 0.1550 0.8451
11 S 0.6901 0.8450 0.5351
12 S 0.8451 0.6901 0.1550
13 S 0.8450 0.1549 0.3099
14 S 0.1550 0.4649 0.3099
15 S 0.4649 0.3099 0.1550
16 S 0.1550 0.8451 0.6901
17 S 0.3099 0.1550 0.4649
18 S 0.1549 0.3099 0.8450
19 S 0.8450 0.5351 0.6901
20 S 0.5351 0.6901 0.8450

Its calculated density is 6.921 g/cm3. The formation energy without anion corrections comes out at -0.99 eV/atom. For the density of states at the Fermi level, the calculation gives 30.7 states/eV/f.u. As for the final energy: -7.3586 eV/atom. The calculation puts the size of the total moment at 10.0 μB per cell.

---

No. 9
VASP calculation (PBE) on a geometry-optimized Li3In6Ag structure.

Lattice parameters (Å, degrees): 4.9440 8.4396 11.2789 111.97 90.00 90.00
Sites, in units of the cell vectors:
1 Li 0.7500 0.8173 0.3652
2 Li 0.2500 0.1827 0.6348
3 Li 0.7500 0.4016 0.7770
4 Li 0.2500 0.5984 0.2230
5 Li 0.7500 0.1959 0.9717
6 Li 0.2500 0.8041 0.0283
7 In 0.7500 0.5955 0.0715
8 In 0.2500 0.4045 0.9285
9 In 0.7500 0.9958 0.1627
10 In 0.2500 0.0042 0.8373
11 In 0.7500 0.9998 0.6613
12 In 0.2500 0.0002 0.3387
13 In 0.7500 0.2218 0.4854
14 In 0.2500 0.7782 0.5146
15 In 0.7500 0.4353 0.2844
16 In 0.2500 0.5647 0.7156
17 In 0.7500 0.7870 0.8586
18 In 0.2500 0.2130 0.1414
19 Ag 0.7500 0.6026 0.5666
20 Ag 0.2500 0.3974 0.4334

Its calculated density is 6.222 g/cm3. Its energy above the most stable polymorph in this dataset is 0.00 eV/f.u. For the density of states at the Fermi level, the calculation gives 3.7 states/eV/f.u. As for the final energy: -2.6643 eV/atom. The calculation puts the size of the total moment at 0.0 μB per cell. The formation energy comes out at -0.16 eV per atom.

---

No. 10
VASP calculation (PBE) on a geometry-optimized FeP3Cl structure.

Lattice parameters (Å, degrees): 4.4076 4.4076 4.4076 90.00 90.00 90.00
Sites, in units of the cell vectors:
1 P 0.0000 0.5000 0.0000
2 P 0.0000 0.0000 0.5000
3 P 0.5000 0.0000 0.0000
4 Fe 0.5000 0.5000 0.5000
5 Cl 0.0000 0.0000 0.0000

Its calculated density is 3.573 g/cm3. The formation energy without anion corrections comes out at 1.78 eV/atom. Its energy above the most stable polymorph in this dataset is 6.27 eV/f.u. For the density of states at the Fermi level, the calculation gives 3.6 states/eV/f.u. As for the final energy: -3.5297 eV/atom. The calculation puts the size of the total moment at 0.0 μB per cell.

---

No. 11
VASP calculation (PBE) on a geometry-optimized CePr2Dy5 structure.

Lattice parameters (Å, degrees): 5.0845 5.0845 10.6892 103.76 103.76 90.00
Sites, in units of the cell vectors:
1 Ce 0.0000 0.0000 0.0000
2 Pr 0.7521 0.7521 0.5042
3 Pr 0.2479 0.2479 0.4958
4 Dy 0.5000 0.5000 0.0000
5 Dy 0.3787 0.8787 0.7574
6 Dy 0.8787 0.3787 0.7574
7 Dy 0.6213 0.1213 0.2426
8 Dy 0.1213 0.6213 0.2426

Its calculated density is 7.877 g/cm3. For the density of states at the Fermi level, the calculation gives 13.2 states/eV/f.u. As for the final energy: -4.7655 eV/atom. The calculation puts the size of the total moment at 0.9 μB per cell. The formation energy comes out at 0.05 eV per atom.

---

No. 12
VASP calculation (PBE) on a geometry-optimized AlCr2Cu structure.

Lattice parameters (Å, degrees): 5.0734 4.7724 2.5080 84.92 70.87 116.45
Sites, in units of the cell vectors:
1 Cr 0.0000 0.0000 0.0000
2 Cr 0.5000 0.0000 0.5000
3 Al 0.5000 0.5000 0.0000
4 Cu 0.0000 0.5000 0.5000

Its calculated density is 6.545 g/cm3. For the density of states at the Fermi level, the calculation gives 2.2 states/eV/f.u. As for the final energy: -6.6858 eV/atom. The calculation puts the size of the total moment at 0.0 μB per cell. The formation energy comes out at 0.09 eV per atom.